Entry w
## PuNpGa (PBE)

Data for a relaxed structure of PuNpGa.

The structure belongs to space group I4mm (No. 107); the cell edges are 3.380, 3.380 and 9.728 Å and the angles 90.00°, 90.00° and 90.00°. The asymmetric unit holds Pu at (0.000, 0.000, 0.000), Np at (0.000, 0.000, 0.601) and Ga at (0.000, 0.000, 0.302).

The calculation puts the calculated density at 16.460 g cm⁻³. For the calculated volume, the calculation gives 18.5 Å³/atom.

Entry x
## PuNpGa (PBE)

Data for a relaxed structure of PuNpGa.

The structure belongs to space group P2_1/c (No. 14); the cell edges are 5.076, 5.861 and 8.127 Å and the angles 90.00°, 113.93° and 90.00°. The asymmetric unit holds Pu at (0.190, 0.137, 0.047), Np at (0.369, 0.080, 0.805) and Ga at (0.256, 0.593, 0.895).

The calculation puts the calculated density at 16.552 g cm⁻³. For the calculated volume, the calculation gives 18.4 Å³/atom.

Entry y
## PuNpGa (PBE)

Data for a relaxed structure of PuNpGa.

The structure belongs to space group P3m1 (No. 156); the cell edges are 5.0150, 5.0150 and 2.8127 Å and the angles 90.00°, 90.00° and 120.00°. The asymmetric unit holds Pu at (0.0000, 0.0000, 0.0000), Np at (0.3333, 0.6667, 0.5861) and Ga at (0.6667, 0.3333, 0.2524).

The calculation puts the calculated density at 14.927 g cm⁻³. For the calculated volume, the calculation gives 20.4 Å³/atom.

Name the most stable of them. entry x.

Entry w
## PuNp2Ga9 (PBE)

Data for a relaxed structure of PuNp2Ga9.

The structure belongs to space group P4/mmm (No. 123); the cell edges are 4.242, 4.242 and 12.746 Å and the angles 90.00°, 90.00° and 90.00°. The asymmetric unit holds Pu at (0.000, 0.000, 0.000), Np at (0.000, 0.000, 0.332), Ga at (0.000, 0.500, 0.164), Ga at (0.000, 0.500, 0.500), Ga at (0.500, 0.500, 0.000) and Ga at (0.500, 0.500, 0.332).

The calculation puts the calculated density at 9.740 g cm⁻³. For the calculated volume, the calculation gives 19.1 Å³/atom.

Entry x
## PuNp2Ga9 (PBE)

Data for a relaxed structure of PuNp2Ga9.

The structure belongs to space group R-3m (No. 166, hexagonal axes); the cell edges are 5.4794, 5.4794 and 26.6815 Å and the angles 90.00°, 90.00° and 120.00°. The asymmetric unit holds Pu at (0.0000, 0.0000, 0.0000), Np at (0.0000, 0.0000, 0.1431), Ga at (0.0000, 0.0000, 0.3355), Ga at (0.0000, 0.0000, 0.5000) and Ga at (0.0075, 0.5037, 0.9156).

The calculation puts the calculated density at 9.662 g cm⁻³. For the calculated volume, the calculation gives 19.3 Å³/atom.

Name the most stable of them. entry x.

Entry w
## NpGaRh4 (PBE)

Data for a relaxed structure of NpGaRh4.

The structure belongs to space group P4/mmm (No. 123); the cell edges are 3.957, 3.957 and 6.753 Å and the angles 90.00°, 90.00° and 90.00°. The asymmetric unit holds Np at (0.000, 0.000, 0.000), Ga at (0.500, 0.500, 0.500) and Rh at (0.000, 0.500, 0.260).

The calculation puts the calculated density at 11.280 g cm⁻³. For the calculated volume, the calculation gives 17.6 Å³/atom.

Entry x
## NpGaRh4 (PBE)

Data for a relaxed structure of NpGaRh4.

The structure belongs to space group F-43m (No. 216); the cell edges are 7.377, 7.377 and 7.377 Å and the angles 90.00°, 90.00° and 90.00°. The asymmetric unit holds Np at (0.000, 0.000, 0.000), Ga at (0.250, 0.250, 0.250) and Rh at (0.124, 0.124, 0.624).

The calculation puts the calculated density at 11.885 g cm⁻³. For the calculated volume, the calculation gives 16.7 Å³/atom.

Name the most stable of them. entry x.

Entry w
## NpGa2Ru (PBE)

Data for a relaxed structure of NpGa2Ru.

The structure belongs to space group P2_1/m (No. 11); the cell edges are 4.459, 6.748 and 5.025 Å and the angles 90.00°, 107.78° and 90.00°. The asymmetric unit holds Np at (0.047, 0.250, 0.151), Ga at (0.405, 0.053, 0.728) and Ru at (0.132, 0.750, 0.394).

The calculation puts the calculated density at 11.016 g cm⁻³. For the calculated volume, the calculation gives 18.0 Å³/atom.

Entry x
## NpGa2Ru (PBE)

Data for a relaxed structure of NpGa2Ru.

The structure belongs to space group P4/mmm (No. 123); the cell edges are 3.079, 3.079 and 7.283 Å and the angles 90.00°, 90.00° and 90.00°. The asymmetric unit holds Np at (0.000, 0.000, 0.000), Ga at (0.500, 0.500, 0.304) and Ru at (0.000, 0.000, 0.500).

The calculation puts the calculated density at 11.487 g cm⁻³. For the calculated volume, the calculation gives 17.3 Å³/atom.

Entry y
## NpGa2Ru (PBE)

Data for a relaxed structure of NpGa2Ru.

The structure belongs to space group Fm-3m (No. 225); the cell edges are 6.554, 6.554 and 6.554 Å and the angles 90.00°, 90.00° and 90.00°. The asymmetric unit holds Np at (0.000, 0.000, 0.000), Ga at (0.250, 0.250, 0.250) and Ru at (0.000, 0.000, 0.500).

The calculation puts the calculated density at 11.264 g cm⁻³. For the calculated volume, the calculation gives 17.6 Å³/atom.

Name the most stable of them. entry w.